Entry from Alexandria via LeMat-Bulk: a relaxed Ni2SbAs crystal (PBE-GGA).

Cell lengths 4.345, 4.345, 3.305 Å; angles 90.57, 90.57, 90.43 degrees
Positions (direct):
Ni 0.000 0.500 0.000
Ni 0.500 0.000 0.000
Sb 0.000 0.000 0.500
As 0.500 0.500 0.500

**Space-group type**: C2/m
**Formation energy from raw total energies**: 0.09 eV per atom

***

Entry from Alexandria via LeMat-Bulk: a relaxed SrHoPu2O8 crystal (PBE-GGA).

Cell lengths 6.549, 6.549, 6.549 Å; angles 131.08, 131.08, 71.68 degrees
Positions (direct):
Sr 0.000 0.000 0.000
Ho 0.250 0.750 0.500
Pu 0.500 0.500 0.000
Pu 0.750 0.250 0.500
O 0.131 0.146 0.534
O 0.131 0.597 0.985
O 0.403 0.388 0.534
O 0.403 0.869 0.015
O 0.612 0.146 0.015
O 0.612 0.597 0.466
O 0.854 0.388 0.985
O 0.854 0.869 0.466

**Space-group type**: I-4m2
**Formation energy from raw total energies**: -2.86 eV per atom